Below is a relaxed MgSi2Ir crystal, with properties calculated at the PBE-GGA level.

```
data_MgSi2Ir
_chemical_formula_sum 'Mg4 Si8 Ir4'
_cell_length_a 4.224
_cell_length_b 4.224
_cell_length_c 16.352
_cell_angle_alpha 90.00
_cell_angle_beta 90.00
_cell_angle_gamma 90.00
_symmetry_space_group_name_H-M 'I -4 2 d'
_symmetry_Int_Tables_number 122
_symmetry_space_group_name_Hall 'I -4 2bw'
loop_
_atom_site_label
_atom_site_fract_x
_atom_site_fract_y
_atom_site_fract_z
_atom_site_occupancy
Mg1 0.000 0.000 0.000 1
Si1 0.153 0.250 0.625 1
Ir1 0.000 0.000 0.500 1
```

The calculation puts the uncorrected formation energy at -0.41 kcal/mol of atoms. As for the raw total energy: -5.343 eV/atom. Its density is 6.2 g/cm3. Its crystal system is tetragonal. The density of states at the Fermi level comes out at 7.08 states/eV/cell.


Below is a relaxed BaTa2Mn crystal, with properties calculated at the PBE-GGA level.

```
data_BaTa2Mn
_chemical_formula_sum 'Ba1 Ta2 Mn1'
_cell_length_a 3.098
_cell_length_b 5.153
_cell_length_c 5.407
_cell_angle_alpha 90.00
_cell_angle_beta 90.00
_cell_angle_gamma 90.00
_symmetry_space_group_name_H-M 'P m m m'
_symmetry_Int_Tables_number 47
loop_
_symmetry_equiv_pos_as_xyz
'x,y,z'
'-x,-y,-z'
'-x,-y,z'
'x,y,-z'
'x,-y,-z'
'-x,y,z'
'-x,y,-z'
'x,-y,z'
loop_
_atom_site_label
_atom_site_fract_x
_atom_site_fract_y
_atom_site_fract_z
_atom_site_occupancy
Ba1 0.000 0.000 0.000 1
Ta1 0.000 0.500 0.500 1
Ta2 0.500 0.000 0.500 1
Mn1 0.500 0.500 0.000 1
```

As for the raw total energy: -7.564 eV/atom. The value obtained for the formation enthalpy at 0 K is 1.14 eV/atom. Its density is 10.7 g/cm3. Its crystal system is orthorhombic. The density of states at the Fermi level comes out at 5.41 states/eV/cell.


Question: Look up the density of states at the Fermi level of the first one.
Answer: 7.08 states/eV/cell